VASP calculation (GGA+U) on an optimized crystal structure of CsCoB2F8.

```
CsCoB2F8
1.0
5.194 0.000 0.000
2.597 4.498 0.000
2.597 1.499 7.994
F Cs B Co
8 1 2 1
Cartesian
8.368 3.283 6.701
2.020 2.715 1.293
6.450 4.606 6.701
1.833 0.392 1.293
8.555 5.606 6.701
2.597 1.499 3.164
7.791 4.498 4.830
3.938 1.392 1.293
5.194 2.999 3.997
7.791 4.498 6.259
2.597 1.499 1.734
0.000 0.000 0.000
```

Calculated values
The calculation puts the total energy at -5.4751 eV per atom. The space group is R-3 (148).